1.
A plane-wave DFT calculation with PBE-GGA was carried out for an optimized crystal structure of DyBe4Pt12.

Output
As for the space group: Im-3, No. 204. For the density of states at the Fermi level, the calculation gives 0.800 states/eV/atom. The value obtained for the spin magnetization is 0.00 μB per formula unit. The formation energy comes out at -5.04 eV per formula unit. The raw total energy is -97.0 eV for the cell shown.

Cell and atoms, written as extended XYZ:
```
17
Lattice="-4.029 4.029 4.029 4.029 -4.029 4.029 4.029 4.029 -4.029" Properties=species:S:1:pos:R:3 pbc="T T T"
Dy 0.000 0.000 0.000
Be 2.015 2.015 -2.015
Be 2.015 -2.015 2.015
Be -2.015 2.015 2.015
Be 2.015 2.015 2.015
Pt 4.029 2.684 -1.376
Pt 2.653 0.000 1.345
Pt 5.406 0.000 1.345
Pt 1.345 2.653 0.000
Pt 2.684 -1.376 4.029
Pt 0.000 1.345 2.653
Pt 4.029 2.684 1.376
Pt 1.345 5.406 0.000
Pt 2.684 1.376 4.029
Pt -1.376 4.029 2.684
Pt 1.376 4.029 2.684
Pt 0.000 1.345 5.406
```

2.
A plane-wave DFT calculation with PBE-GGA was carried out for an optimized crystal structure of Dy2PuBe3Pt4.

Output
As for the space group: P-4m2, No. 115. For the density of states at the Fermi level, the calculation gives 0.987 states/eV/atom. The value obtained for the spin magnetization is 5.80 μB per formula unit. The formation energy comes out at -7.83 eV per formula unit. The raw total energy is -66.7 eV for the cell shown.

Cell and atoms, written as extended XYZ:
```
10
Lattice="4.050 0.000 0.000 0.000 4.050 0.000 0.000 0.000 10.752" Properties=species:S:1:pos:R:3 pbc="T T T"
Dy 0.000 2.025 2.401
Dy 2.025 0.000 8.351
Pu 0.000 0.000 5.376
Be 0.000 2.025 9.583
Be 2.025 0.000 1.169
Be 2.025 2.025 5.376
Pt 0.000 0.000 0.000
Pt 0.000 2.025 7.264
Pt 2.025 0.000 3.487
Pt 2.025 2.025 0.000
```

3.
A plane-wave DFT calculation with PBE-GGA was carried out for an optimized crystal structure of Dy2Be4Pt3Rh.

Output
As for the space group: P-4m2, No. 115. For the density of states at the Fermi level, the calculation gives 0.559 states/eV/atom. The value obtained for the spin magnetization is 0.00 μB per formula unit. The formation energy comes out at -8.81 eV per formula unit. The raw total energy is -58.4 eV for the cell shown.

Cell and atoms, written as extended XYZ:
```
10
Lattice="4.037 0.000 0.000 0.000 4.037 0.000 0.000 0.000 9.302" Properties=species:S:1:pos:R:3 pbc="T T T"
Dy 0.000 2.019 2.286
Dy 2.019 0.000 7.017
Be 0.000 0.000 4.651
Be 0.000 2.019 8.160
Be 2.019 0.000 1.142
Be 2.019 2.019 4.651
Pt 0.000 0.000 0.000
Pt 0.000 2.019 5.821
Pt 2.019 0.000 3.482
Rh 2.019 2.019 0.000
```

4.
A plane-wave DFT calculation with PBE-GGA was carried out for an optimized crystal structure of DyScBe2Pt5.

Output
As for the space group: P4/mmm, No. 123. For the density of states at the Fermi level, the calculation gives 0.275 states/eV/atom. The value obtained for the spin magnetization is 0.00 μB per formula unit. The formation energy comes out at -8.39 eV per formula unit. The raw total energy is -57.0 eV for the cell shown.

Cell and atoms, written as extended XYZ:
```
9
Lattice="4.053 0.000 0.000 0.000 4.053 0.000 0.000 0.000 8.653" Properties=species:S:1:pos:R:3 pbc="T T T"
Dy 0.000 0.000 0.000
Sc 0.000 0.000 4.327
Be 2.026 2.026 3.201
Be 2.026 2.026 5.452
Pt 0.000 2.026 2.187
Pt 0.000 2.026 6.467
Pt 2.026 0.000 2.187
Pt 2.026 0.000 6.467
Pt 2.026 2.026 0.000
```

5.
A plane-wave DFT calculation with PBE-GGA was carried out for an optimized crystal structure of Dy2BeSi3Pt4.

Output
As for the space group: P-4m2, No. 115. For the density of states at the Fermi level, the calculation gives 0.470 states/eV/atom. The value obtained for the spin magnetization is 0.00 μB per formula unit. Its uncorrected formation energy is -1.07 eV/atom. The raw total energy is -64.1 eV for the cell shown.

Cell and atoms, written as extended XYZ:
```
10
Lattice="4.139 0.000 0.000 0.000 4.139 0.000 0.000 0.000 9.890" Properties=species:S:1:pos:R:3 pbc="T T T"
Dy 0.000 2.070 2.371
Dy 2.070 0.000 7.519
Be 2.070 2.070 0.000
Si 0.000 0.000 0.000
Si 0.000 2.070 6.312
Si 2.070 0.000 3.578
Pt 0.000 0.000 4.945
Pt 0.000 2.070 8.668
Pt 2.070 0.000 1.222
Pt 2.070 2.070 4.945
```

6.
A plane-wave DFT calculation with PBE-GGA was carried out for an optimized crystal structure of Dy2BeSiPt6.

Output
As for the space group: Immm, No. 71. For the density of states at the Fermi level, the calculation gives 0.557 states/eV/atom. The value obtained for the spin magnetization is 0.00 μB per formula unit. Its uncorrected formation energy is -0.80 eV/atom. The raw total energy is -62.6 eV for the cell shown.

Cell and atoms, written as extended XYZ:
```
10
Lattice="-2.893 3.472 4.486 2.893 -3.472 4.486 2.893 3.472 -4.486" Properties=species:S:1:pos:R:3 pbc="T T T"
Dy 0.000 0.000 2.043
Dy 0.000 0.000 6.929
Be 0.000 3.472 0.000
Si 2.893 0.000 0.000
Pt 2.893 0.000 2.306
Pt 1.506 1.925 0.000
Pt 1.387 -1.547 4.486
Pt 1.506 5.020 0.000
Pt 1.387 1.547 4.486
Pt 0.000 3.472 2.180
```

7.
A plane-wave DFT calculation with PBE-GGA was carried out for an optimized crystal structure of Dy2BeSi4Pt3.

Output
As for the space group: P-4m2, No. 115. For the density of states at the Fermi level, the calculation gives 0.327 states/eV/atom. The value obtained for the spin magnetization is 0.00 μB per formula unit. Its uncorrected formation energy is -0.95 eV/atom. The raw total energy is -62.3 eV for the cell shown.

Cell and atoms, written as extended XYZ:
```
10
Lattice="4.031 0.000 0.000 0.000 4.031 0.000 0.000 0.000 10.361" Properties=species:S:1:pos:R:3 pbc="T T T"
Dy 0.000 2.015 2.478
Dy 2.015 0.000 7.884
Be 2.015 2.015 0.000
Si 0.000 0.000 5.181
Si 0.000 2.015 8.975
Si 2.015 0.000 1.387
Si 2.015 2.015 5.181
Pt 0.000 0.000 0.000
Pt 0.000 2.015 6.549
Pt 2.015 0.000 3.812
```

8.
A plane-wave DFT calculation with PBE-GGA was carried out for an optimized crystal structure of DyBeSiPt2.

Output
As for the space group: I-4m2, No. 119. For the density of states at the Fermi level, the calculation gives 0.612 states/eV/atom. The value obtained for the spin magnetization is 0.00 μB per formula unit. Its uncorrected formation energy is -0.95 eV/atom. The raw total energy is -30.6 eV for the cell shown.

Cell and atoms, written as extended XYZ:
```
5
Lattice="-2.040 2.040 5.082 2.040 -2.040 5.082 2.040 2.040 -5.082" Properties=species:S:1:pos:R:3 pbc="T T T"
Dy 0.000 0.000 0.000
Be 0.000 2.040 2.541
Si 2.040 0.000 2.541
Pt 0.000 0.000 3.748
Pt 0.000 0.000 6.416
```

9.
A plane-wave DFT calculation with PBE-GGA was carried out for an optimized crystal structure of Dy2Be4Si3Pt.

Output
As for the space group: P-4m2, No. 115. For the density of states at the Fermi level, the calculation gives 0.284 states/eV/atom. The value obtained for the spin magnetization is 0.00 μB per formula unit. Its uncorrected formation energy is -0.60 eV/atom. The raw total energy is -52.4 eV for the cell shown.

Cell and atoms, written as extended XYZ:
```
10
Lattice="3.834 0.000 0.000 0.000 3.834 0.000 0.000 0.000 9.833" Properties=species:S:1:pos:R:3 pbc="T T T"
Dy 0.000 1.917 2.406
Dy 1.917 0.000 7.427
Be 0.000 0.000 0.000
Be 0.000 1.917 6.255
Be 1.917 0.000 3.578
Be 1.917 1.917 0.000
Si 0.000 1.917 8.527
Si 1.917 0.000 1.306
Si 1.917 1.917 4.917
Pt 0.000 0.000 4.917
```

10.
A plane-wave DFT calculation with PBE-GGA was carried out for an optimized crystal structure of Dy2Be3SiPt4.

Output
As for the space group: P-4m2, No. 115. For the density of states at the Fermi level, the calculation gives 0.535 states/eV/atom. The value obtained for the spin magnetization is 0.00 μB per formula unit. Its uncorrected formation energy is -0.98 eV/atom. The raw total energy is -59.8 eV for the cell shown.

Cell and atoms, written as extended XYZ:
```
10
Lattice="4.077 0.000 0.000 0.000 4.077 0.000 0.000 0.000 9.512" Properties=species:S:1:pos:R:3 pbc="T T T"
Dy 0.000 2.039 2.365
Dy 2.039 0.000 7.147
Be 0.000 2.039 8.349
Be 2.039 0.000 1.163
Be 2.039 2.039 4.756
Si 0.000 0.000 4.756
Pt 0.000 0.000 0.000
Pt 0.000 2.039 6.030
Pt 2.039 0.000 3.482
Pt 2.039 2.039 0.000
```